Compound: Ti2NiSe6
Source: Alexandria
Functional: GGA-PBE
Structure: relaxed

Geometry as extended XYZ:
```
18
Lattice="-4.978 1.109 -3.134 -0.951 -5.882 -0.573 -5.781 0.039 9.194" Properties=species:S:1:pos:R:3 pbc="T T T"
Se -1.801 -4.406 -1.113
Se -2.791 -1.463 0.395
Se -5.070 -3.297 -1.029
Se -4.128 -0.367 -2.594
Se -8.918 -3.271 5.092
Se -8.060 -0.208 3.492
Se -6.639 -1.437 6.517
Se -5.581 -4.513 5.069
Se -6.128 -0.221 0.419
Se -3.649 -4.526 1.996
Se -7.106 -3.375 1.961
Se -4.603 -1.359 3.526
Ni -2.964 -2.386 -1.853
Ni -2.890 0.020 4.597
Ti -4.950 -2.373 1.304
Ti -4.876 0.033 7.755
Ti -6.759 -2.361 4.183
Ti -0.905 0.006 1.439
```

Computed properties:
Volume = 195 Å³/f.u.
Total moment = 0.00 μB per formula unit
Raw formation energy = -635 meV per atom